(1)
DFT (PBEsol) results for a relaxed structure of FeHgBr2.

Summary:
- Energy: -3.135 eV per atom
- Total moment: 3.6 μB/cell

a = 3.200 Å, b = 3.200 Å, c = 8.503 Å
α = 90.00°, β = 90.00°, γ = 90.00°
Positions (direct):
1 Fe 0.000 0.000 0.000
2 Hg 0.500 0.500 0.225
3 Br 0.000 0.000 0.481
4 Br 0.500 0.500 0.837

***

(2)
DFT (PBEsol) results for a relaxed structure of Ca2CuCl2O2.

Summary:
- Energy: -5.388 eV per atom
- Total moment: 0.0 μB/cell

a = 7.907 Å, b = 7.907 Å, c = 7.907 Å
α = 152.00°, β = 152.00°, γ = 40.01°
Positions (direct):
1 Ca 0.105 0.105 0.000
2 Ca 0.895 0.895 0.000
3 Cu 0.500 0.500 0.000
4 Cl 0.316 0.316 0.000
5 Cl 0.684 0.684 0.000
6 O 0.000 0.500 0.500
7 O 0.500 0.000 0.500

***

(3)
DFT (PBEsol) results for a relaxed structure of CoTeCl3.

Summary:
- Energy: -3.495 eV per atom
- Total moment: 0.5 μB/cell

a = 4.539 Å, b = 4.539 Å, c = 4.539 Å
α = 90.00°, β = 90.00°, γ = 90.00°
Positions (direct):
1 Co 0.000 0.000 0.000
2 Te 0.500 0.500 0.500
3 Cl 0.000 0.000 0.500
4 Cl 0.000 0.500 0.000
5 Cl 0.500 0.000 0.000

***

(4)
DFT (PBEsol) results for a relaxed structure of LiCoIr2.

Summary:
- Polymorph energy (0 for the lowest one): 88 meV per atom
- Energy: -7.226 eV per atom
- Total moment: 0.0 μB/cell

a = 4.061 Å, b = 4.061 Å, c = 4.061 Å
α = 60.00°, β = 60.00°, γ = 60.00°
Positions (direct):
1 Li 0.000 0.000 0.000
2 Co 0.500 0.500 0.500
3 Ir 0.250 0.250 0.250
4 Ir 0.750 0.750 0.750

***

(5)
DFT (PBEsol) results for a relaxed structure of Zn3TeP2Pb3O14.

Summary:
- Energy: -6.245 eV per atom
- Total moment: 0.0 μB/cell

a = 8.383 Å, b = 8.383 Å, c = 5.189 Å
α = 90.00°, β = 90.00°, γ = 120.00°
Positions (direct):
1 Zn 0.000 0.248 0.000
2 Zn 0.248 0.000 0.000
3 Zn 0.752 0.752 0.000
4 Te 0.000 0.000 0.500
5 P 0.333 0.667 0.051
6 P 0.667 0.333 0.949
7 Pb 0.000 0.591 0.500
8 Pb 0.409 0.409 0.500
9 Pb 0.591 0.000 0.500
10 O 0.091 0.873 0.713
11 O 0.127 0.218 0.713
12 O 0.196 0.474 0.168
13 O 0.218 0.127 0.287
14 O 0.278 0.804 0.168
15 O 0.333 0.667 0.756
16 O 0.474 0.196 0.832
17 O 0.526 0.722 0.168
18 O 0.667 0.333 0.244
19 O 0.722 0.526 0.832
20 O 0.782 0.909 0.713
21 O 0.804 0.278 0.832
22 O 0.873 0.091 0.287
23 O 0.909 0.782 0.287

***

(6)
DFT (PBEsol) results for a relaxed structure of Al2PbO4.

Summary:
- Energy: -7.215 eV per atom
- Total moment: 0.0 μB/cell

a = 8.458 Å, b = 5.259 Å, c = 5.259 Å
α = 122.05°, β = 90.00°, γ = 90.00°
Positions (direct):
1 Al 0.054 0.172 0.828
2 Al 0.446 0.172 0.828
3 Al 0.554 0.828 0.172
4 Al 0.946 0.828 0.172
5 Pb 0.250 0.562 0.508
6 Pb 0.750 0.508 0.562
7 O 0.000 0.883 0.883
8 O 0.056 0.533 0.157
9 O 0.250 0.069 0.692
10 O 0.444 0.533 0.157
11 O 0.500 0.883 0.883
12 O 0.556 0.157 0.533
13 O 0.750 0.692 0.069
14 O 0.944 0.157 0.533

***

(7)
DFT (PBEsol) results for a relaxed structure of In2HgSb.

Summary:
- Polymorph energy (0 for the lowest one): 0 meV per atom
- Energy: -2.782 eV per atom
- Total moment: 0.0 μB/cell

a = 5.265 Å, b = 5.265 Å, c = 5.265 Å
α = 60.00°, β = 60.00°, γ = 60.00°
Positions (direct):
1 In 0.250 0.250 0.250
2 In 0.750 0.750 0.750
3 Hg 0.000 0.000 0.000
4 Sb 0.500 0.500 0.500

***

(8)
DFT (PBEsol) results for a relaxed structure of MnAl2Zn.

Summary:
- Energy: -5.007 eV per atom
- Total moment: 2.3 μB/cell

a = 3.847 Å, b = 3.847 Å, c = 3.654 Å
α = 90.00°, β = 90.00°, γ = 90.00°
Positions (direct):
1 Mn 0.000 0.000 0.000
2 Al 0.000 0.500 0.500
3 Al 0.500 0.000 0.500
4 Zn 0.500 0.500 0.000

***

Q: Among the records above, which one has the lowest energy?
A: LiCoIr2

***

Q: Which of these has the highest energy?
A: In2HgSb

***

Q: Which value of total moment does entry 7 give?
A: 0.0 μB/cell